Record 1
# Tb4Pr4Sm

Crystalline Tb4Pr4Sm at its relaxed geometry (PBE-GGA, Alexandria via LeMat-Bulk).

Results
total magnetic moment = 0.0 μB per formula unit
calculated volume = 34.023 Å³ per atom
calculated formation energy = 0.017 eV/atom
calculated total energy = -4.69 eV/atom
theoretical density = 7.319 g cm⁻³

Lattice parameters (Å, degrees): 10.9178 10.9178 5.1378 90.00 90.00 90.00
Closest atoms and distances in Å follow each position.
Space group I4/mmm (No. 139)
Unique sites:
Tb 0.0000 0.3356 0.0000  5 Tb 3.59-3.61, 6 Pr 3.63-3.65, 1 Sm 3.66
Pr 0.1671 0.1671 0.5000  4 Pr 3.63-3.65, 6 Tb 3.63-3.65, 2 Sm 3.64
Sm 0.0000 0.0000 0.0000  8 Pr 3.64, 4 Tb 3.66

---

Record 2
# Tb5PrSm

Crystalline Tb5PrSm at its relaxed geometry (PBE-GGA, Alexandria via LeMat-Bulk).

Results
total magnetic moment = 0.0 μB per formula unit
calculated volume = 42.483 Å³ per atom
calculated formation energy = 1.060 eV/atom
calculated total energy = -3.60 eV/atom
theoretical density = 6.063 g cm⁻³
energy above the most stable polymorph in this dataset = 84.4 kJ/mol of atoms

Lattice parameters (Å, degrees): 5.7838 8.6890 11.8347 90.00 90.00 90.00
Closest atoms and distances in Å follow each position.
Space group Immm (No. 71)
Unique sites:
Tb 0.0000 0.0000 0.0000  2 Sm 2.89
Tb 0.0000 0.1802 0.5000  1 Sm 2.78
Tb 0.0000 0.5000 0.2518  1 Sm 2.94, 1 Pr 2.98
Pr 0.0000 0.5000 0.0000  6 Tb 2.98-3.29
Sm 0.0000 0.5000 0.5000  6 Tb 2.78-2.94

---

Record 3
# Tb2Pr3Sm2

Crystalline Tb2Pr3Sm2 at its relaxed geometry (PBE-GGA, Alexandria via LeMat-Bulk).

Results
total magnetic moment = 0.0 μB per formula unit
calculated volume = 34.281 Å³ per atom
calculated formation energy = 0.015 eV/atom
calculated total energy = -4.70 eV/atom
theoretical density = 7.206 g cm⁻³
energy above the most stable polymorph in this dataset = 0.0 kJ/mol of atoms

Lattice parameters (Å, degrees): 3.6501 6.3117 10.9322 95.68 90.03 106.68
Closest atoms and distances in Å follow each position.
Space group P-1 (No. 2)
Unique sites:
Tb 0.0724 0.1443 0.2847  3 Sm 3.63-3.66, 7 Pr 3.64-3.66, 2 Tb 3.65
Pr 0.3573 0.7158 0.4285  5 Pr 3.63-3.67, 5 Tb 3.65-3.66, 2 Sm 3.65
Pr 0.5000 0.0000 0.0000  6 Sm 3.63-3.66, 4 Tb 3.64, 2 Pr 3.65
Sm 0.2148 0.4302 0.8576  3 Tb 3.63-3.66, 5 Pr 3.63-3.66, 4 Sm 3.63-3.65

---

Record 4
# TbPr5Sm3

Crystalline TbPr5Sm3 at its relaxed geometry (PBE-GGA, Alexandria via LeMat-Bulk).

Results
total magnetic moment = 0.0 μB per formula unit
calculated volume = 39.719 Å³ per atom
calculated formation energy = 0.534 eV/atom
calculated total energy = -4.21 eV/atom
theoretical density = 6.106 g cm⁻³
energy above the most stable polymorph in this dataset = 37.1 kJ/mol of atoms

Lattice parameters (Å, degrees): 11.6130 11.5624 11.8295 90.00 115.81 90.00
Closest atoms and distances in Å follow each position.
Space group C2/m (No. 12)
Unique sites:
Tb 0.0893 0.0000 0.2941  4 Sm 3.03-3.17, 1 Pr 3.33
Pr 0.0000 0.2553 0.5000  1 Sm 2.95
Pr 0.0271 0.5000 0.8800  2 Pr 3.17-3.24, 2 Sm 3.27-3.34
Pr 0.1944 0.5000 0.4066  3 Sm 3.23-3.42, 1 Pr 3.24, 1 Tb 3.33
Pr 0.2034 0.2341 0.1488  3 Sm 3.24-3.56
Sm 0.0000 0.0000 0.0000  2 Tb 3.17, 4 Pr 3.52
Sm 0.0000 0.0000 0.5000  4 Pr 2.95-3.23, 2 Tb 3.03
Sm 0.1213 0.5000 0.6568  1 Tb 3.15, 5 Pr 3.27-3.42
Sm 0.2082 0.0000 0.8485  1 Tb 3.12, 3 Pr 3.24-3.34

---

Record 5
# Tb12Pr2Sm5

Crystalline Tb12Pr2Sm5 at its relaxed geometry (PBE-GGA, Alexandria via LeMat-Bulk).

Results
total magnetic moment = 0.0 μB per formula unit
calculated volume = 33.843 Å³ per atom
calculated formation energy = 0.206 eV/atom
calculated total energy = -4.46 eV/atom
theoretical density = 7.594 g cm⁻³
energy above the most stable polymorph in this dataset = 11.0 kJ/mol of atoms

Lattice parameters (Å, degrees): 16.4741 9.0961 9.6495 90.00 117.20 90.00
Closest atoms and distances in Å follow each position.
Space group C2/m (No. 12)
Unique sites:
Tb 0.0059 0.0000 0.3377  2 Sm 3.19-3.48, 5 Tb 3.23-3.45
Tb 0.1051 0.5000 0.9672  1 Sm 3.39, 2 Pr 3.52, 5 Tb 3.73-3.80
Tb 0.1096 0.3232 0.3246  1 Pr 3.12, 2 Tb 3.22-3.43, 3 Sm 3.30-3.39
Tb 0.1838 0.2010 0.7160  4 Tb 3.45-3.66, 4 Sm 3.47-3.83
Pr 0.0000 0.1743 0.0000  2 Tb 3.12, 1 Pr 3.17, 2 Sm 3.37
Sm 0.0000 0.5000 0.5000  4 Tb 3.39
Sm 0.1866 0.0000 0.0236  2 Pr 3.37, 1 Sm 3.39, 6 Tb 3.39-3.66
Sm 0.2119 0.0000 0.3923  5 Tb 3.19-3.37, 1 Sm 3.39

---

Record 6
# TbPr8Sm4

Crystalline TbPr8Sm4 at its relaxed geometry (PBE-GGA, Alexandria via LeMat-Bulk).

Results
total magnetic moment = 0.0 μB per formula unit
calculated volume = 37.319 Å³ per atom
calculated formation energy = 0.397 eV/atom
calculated total energy = -4.35 eV/atom
theoretical density = 6.461 g cm⁻³

Lattice parameters (Å, degrees): 11.9356 11.9356 11.7969 90.00 90.00 120.00
Closest atoms and distances in Å follow each position.
Space group R-3m (No. 166, hexagonal axes)
Unique sites:
Tb 0.0000 0.0000 0.0000  2 Pr 3.02
Pr 0.0000 0.0000 0.2561  1 Sm 2.88, 1 Tb 3.02
Pr 0.0009 0.5005 0.1686  3 Sm 3.44-3.45, 3 Pr 3.44-3.62
Sm 0.0000 0.0000 0.5000  2 Pr 2.88
Sm 0.0000 0.5000 0.5000  6 Pr 3.45-3.60

---

Record 7
# TbPr6Sm

Crystalline TbPr6Sm at its relaxed geometry (PBE-GGA, Alexandria via LeMat-Bulk).

Results
total magnetic moment = 0.0 μB per formula unit
calculated volume = 35.342 Å³ per atom
calculated formation energy = 0.014 eV/atom
calculated total energy = -4.74 eV/atom
theoretical density = 6.782 g cm⁻³

Lattice parameters (Å, degrees): 5.2091 5.2091 10.4195 90.00 90.00 90.00
Closest atoms and distances in Å follow each position.
Space group P4/mmm (No. 123)
Unique sites:
Tb 0.0000 0.0000 0.0000  12 Pr 3.68
Pr 0.0000 0.5000 0.2489  2 Tb 3.68, 8 Pr 3.68-3.69, 2 Sm 3.69
Pr 0.5000 0.5000 0.0000  8 Pr 3.68, 4 Tb 3.68
Pr 0.5000 0.5000 0.5000  4 Sm 3.68, 8 Pr 3.69
Sm 0.0000 0.0000 0.5000  12 Pr 3.68-3.69

---

Record 8
# Tb7PrSm2

Crystalline Tb7PrSm2 at its relaxed geometry (PBE-GGA, Alexandria via LeMat-Bulk).

Results
total magnetic moment = 0.0 μB per formula unit
calculated volume = 32.802 Å³ per atom
calculated formation energy = 0.047 eV/atom
calculated total energy = -4.62 eV/atom
theoretical density = 7.867 g cm⁻³
energy above the most stable polymorph in this dataset = 0.0 kJ/mol of atoms

Lattice parameters (Å, degrees): 18.2647 5.5036 7.0748 90.00 112.71 90.00
Closest atoms and distances in Å follow each position.
Space group C2/m (No. 12)
Unique sites:
Tb 0.0000 0.0000 0.0000  2 Sm 3.35, 2 Pr 3.54, 8 Tb 3.74
Tb 0.1082 0.5000 0.3569  8 Tb 3.52-3.74, 3 Sm 3.60-3.71, 2 Pr 3.75
Tb 0.1080 0.5000 0.8595  8 Tb 3.52-3.74, 3 Sm 3.61-3.71, 2 Pr 3.75
Tb 0.2004 0.0000 0.7004  4 Sm 3.23-3.54, 1 Pr 3.38
Pr 0.0000 0.0000 0.5000  12 Tb 3.38-3.75
Sm 0.1987 0.0000 0.1986  9 Tb 3.23-3.61

---

Record 9
# TbPr8Sm2

Crystalline TbPr8Sm2 at its relaxed geometry (PBE-GGA, Alexandria via LeMat-Bulk).

Results
total magnetic moment = 0.0 μB per formula unit
calculated volume = 35.392 Å³ per atom
calculated formation energy = 0.013 eV/atom
calculated total energy = -4.74 eV/atom
theoretical density = 6.769 g cm⁻³
energy above the most stable polymorph in this dataset = 0.0 kJ/mol of atoms

Lattice parameters (Å, degrees): 18.7668 5.2150 8.2459 90.00 105.24 90.00
Closest atoms and distances in Å follow each position.
Space group C2/m (No. 12)
Unique sites:
Tb 0.0000 0.0000 0.0000  12 Pr 3.67-3.69
Pr 0.0458 0.5000 0.7288  9 Pr 3.68-3.71, 1 Sm 3.68, 2 Tb 3.68
Pr 0.0912 0.0000 0.4527  8 Pr 3.67-3.70, 3 Sm 3.67-3.68, 1 Tb 3.67
Pr 0.1366 0.5000 0.1828  3 Sm 3.67-3.69, 7 Pr 3.67-3.69, 2 Tb 3.69
Pr 0.1814 0.0000 0.9099  1 Tb 3.67, 8 Pr 3.68-3.70, 3 Sm 3.69-3.70
Sm 0.2268 0.5000 0.6352  10 Pr 3.67-3.70, 2 Sm 3.68

---

Record 10
# TbPr6Sm

Crystalline TbPr6Sm at its relaxed geometry (PBE-GGA, Alexandria via LeMat-Bulk).

Results
total magnetic moment = 0.0 μB per formula unit
calculated volume = 35.458 Å³ per atom
calculated formation energy = 0.015 eV/atom
calculated total energy = -4.74 eV/atom
theoretical density = 6.760 g cm⁻³

Lattice parameters (Å, degrees): 7.4063 10.3882 8.2455 90.00 116.58 90.00
Closest atoms and distances in Å follow each position.
Space group C2/m (No. 12)
Unique sites:
Tb 0.0000 0.0000 0.0000  10 Pr 3.67-3.68, 2 Sm 3.70
Pr 0.1266 0.2500 0.7534  8 Pr 3.64-3.74, 2 Sm 3.67, 2 Tb 3.67
Pr 0.2496 0.0000 0.4991  1 Tb 3.68, 10 Pr 3.69-3.70, 1 Sm 3.69
Sm 0.0000 0.5000 0.0000  10 Pr 3.67-3.69, 2 Tb 3.70

---

Record 11
# TbPr4Sm5

Crystalline TbPr4Sm5 at its relaxed geometry (PBE-GGA, Alexandria via LeMat-Bulk).

Results
total magnetic moment = 0.0 μB per formula unit
calculated volume = 35.897 Å³ per atom
calculated formation energy = 0.174 eV/atom
calculated total energy = -4.56 eV/atom
theoretical density = 6.820 g cm⁻³
energy above the most stable polymorph in this dataset = 0.0 kJ/mol of atoms

Lattice parameters (Å, degrees): 3.5988 8.9571 11.3601 89.85 89.96 78.60
Closest atoms and distances in Å follow each position.
Space group P-1 (No. 2)
Unique sites:
Tb 0.0000 0.0000 0.0000  4 Pr 3.39-3.40, 4 Sm 3.58-3.59, 2 Tb 3.60
Pr 0.1551 0.6899 0.7499  4 Pr 3.60-3.72, 7 Sm 3.74-3.93, 1 Tb 3.94
Pr 0.4728 0.0606 0.7509  4 Sm 3.36-3.42, 2 Tb 3.39-3.40, 4 Pr 3.60-3.72
Sm 0.0000 0.0000 0.5000  4 Pr 3.41-3.42, 6 Sm 3.59-3.61
Sm 0.3252 0.3477 0.5545  2 Pr 3.36-3.74, 6 Sm 3.45-3.61
Sm 0.3267 0.3464 0.9474  2 Pr 3.36-3.75, 4 Sm 3.45-3.60, 2 Tb 3.58-3.59

---

Record 12
# Tb8Pr2Sm3

Crystalline Tb8Pr2Sm3 at its relaxed geometry (PBE-GGA, Alexandria via LeMat-Bulk).

Results
total magnetic moment = 0.0 μB per formula unit
calculated volume = 33.727 Å³ per atom
calculated formation energy = 0.131 eV/atom
calculated total energy = -4.54 eV/atom
theoretical density = 7.591 g cm⁻³
energy above the most stable polymorph in this dataset = 0.0 kJ/mol of atoms

Lattice parameters (Å, degrees): 5.9153 6.2445 12.0575 84.58 82.87 84.63
Closest atoms and distances in Å follow each position.
Space group P-1 (No. 2)
Unique sites:
Tb 0.0094 0.2099 0.4023  4 Tb 3.36-3.58, 2 Pr 3.67-3.68, 1 Sm 3.73
Tb 0.0558 0.7116 0.2350  5 Tb 3.44-3.84, 2 Sm 3.55-3.61, 1 Pr 3.58
Tb 0.4381 0.0690 0.8690  4 Sm 3.32-3.61, 4 Tb 3.35-3.45, 1 Pr 3.42
Tb 0.4665 0.6319 0.7228  4 Tb 3.37-3.46, 3 Pr 3.38-3.76, 2 Sm 3.39-3.52
Pr 0.4647 0.1858 0.5852  1 Pr 3.21, 3 Tb 3.38-3.58
Sm 0.0237 0.2346 0.0915  3 Sm 3.41-3.81, 7 Tb 3.43-3.73
Sm 0.5000 0.5000 0.0000  4 Tb 3.32-3.39, 4 Sm 3.41-3.62